1.
# DyGa2SiNi2 | the Alexandria database | PBE-GGA | optimized geometry
data_DyGa2SiNi2
_symmetry_space_group_name_H-M 'P 1'
_symmetry_Int_Tables_number 1
_symmetry_space_group_name_Hall 'P 1'
_cell_length_a 4.284
_cell_length_b 4.284
_cell_length_c 5.464
_cell_angle_alpha 90.00
_cell_angle_beta 90.00
_cell_angle_gamma 90.00
loop_
_atom_site_label
_atom_site_type_symbol
_atom_site_fract_x
_atom_site_fract_y
_atom_site_fract_z
Dy1 Dy 0.000 0.000 0.000
Ga1 Ga 0.500 0.500 0.235
Ga2 Ga 0.500 0.500 0.765
Si1 Si 0.000 0.000 0.500
Ni1 Ni 0.000 0.500 0.500
Ni2 Ni 0.500 0.000 0.500
# Space group = P4/mmm, No. 123
# Formation energy from raw total energies = -39 kJ/mol of atoms


2.
# SmDyGa2Ni2 | the Alexandria database | PBE-GGA | optimized geometry
data_SmDyGa2Ni2
_symmetry_space_group_name_H-M 'P 1'
_symmetry_Int_Tables_number 1
_symmetry_space_group_name_Hall 'P 1'
_cell_length_a 4.307
_cell_length_b 4.307
_cell_length_c 7.120
_cell_angle_alpha 90.00
_cell_angle_beta 90.00
_cell_angle_gamma 120.00
loop_
_atom_site_label
_atom_site_type_symbol
_atom_site_fract_x
_atom_site_fract_y
_atom_site_fract_z
Sm1 Sm 0.000 0.000 0.000
Dy1 Dy 0.000 0.000 0.500
Ga1 Ga 0.333 0.667 0.261
Ga2 Ga 0.667 0.333 0.739
Ni1 Ni 0.333 0.667 0.736
Ni2 Ni 0.667 0.333 0.264
# Space group = P-3m1, No. 164


The evaluated energy for the records listed, in turn: -5.0067, -5.0735 eV/atom.